[1]
DFT (PBE) results for BeCu2Rh after structural relaxation.

```
BeCu2Rh
1.0
3.490 0.000 0.000
0.000 1.374 4.910
0.000 -1.374 4.910
Be Cu Rh
1 2 1
Direct
0.000 0.000 0.000
0.000 0.763 0.763
0.500 0.151 0.151
0.500 0.420 0.420
```

* spin magnetization: 0.0 μB per cell
* electronic total energy: -4.95 eV per atom
* mass density: 8.43 g/cm3

***

[2]
DFT (PBE) results for BeCuRh after structural relaxation.

```
BeCuRh
1.0
3.834 0.000 0.000
-1.917 3.320 0.000
0.000 0.000 2.734
Be Cu Rh
1 1 1
Direct
0.000 0.000 0.000
0.667 0.333 0.017
0.333 0.667 0.516
```

* spin magnetization: 0.0 μB per cell
* ΔE to the lowest computed polymorph: 111 meV per atom
* electronic total energy: -5.20 eV per atom
* mass density: 8.37 g/cm3

***

[3]
DFT (PBE) results for BeCu2Rh after structural relaxation.

```
BeCu2Rh
1.0
2.756 0.000 0.000
0.000 2.756 0.000
0.000 0.000 6.043
Be Cu Rh
1 2 1
Direct
0.000 0.000 0.000
0.500 0.500 0.211
0.500 0.500 0.789
0.000 0.000 0.500
```

* spin magnetization: 0.0 μB per cell
* electronic total energy: -4.86 eV per atom
* mass density: 8.64 g/cm3

***

[4]
DFT (PBE) results for BeCuRh3 after structural relaxation.

```
BeCuRh3
1.0
4.100 0.000 0.000
0.000 4.100 0.000
0.000 0.000 4.100
Be Cu Rh
1 1 3
Direct
0.000 0.000 0.000
0.500 0.500 0.500
0.000 0.000 0.500
0.000 0.500 0.000
0.500 0.000 0.000
```

* spin magnetization: 0.0 μB per cell
* ΔE to the lowest computed polymorph: 0 meV per atom
* electronic total energy: -5.65 eV per atom
* mass density: 9.19 g/cm3

***

[5]
DFT (PBE) results for Be3Cu2Rh after structural relaxation.

```
Be3Cu2Rh
1.0
2.762 0.000 0.000
0.000 2.762 0.000
0.000 0.000 8.072
Be Cu Rh
3 2 1
Direct
0.000 0.000 0.000
0.000 0.000 0.338
0.000 0.000 0.662
0.500 0.500 0.163
0.500 0.500 0.837
0.500 0.500 0.500
```

* spin magnetization: 0.0 μB per cell
* electronic total energy: -4.75 eV per atom
* mass density: 6.93 g/cm3

***

[6]
DFT (PBE) results for Be5Cu4Rh after structural relaxation.

```
Be5Cu4Rh
1.0
2.762 0.000 0.000
0.000 2.762 0.000
0.000 0.000 13.199
Be Cu Rh
5 4 1
Direct
0.000 0.000 0.000
0.000 0.000 0.194
0.000 0.000 0.402
0.000 0.000 0.598
0.000 0.000 0.806
0.500 0.500 0.099
0.500 0.500 0.296
0.500 0.500 0.704
0.500 0.500 0.901
0.500 0.500 0.500
```

* spin magnetization: 0.0 μB per cell
* electronic total energy: -4.46 eV per atom
* mass density: 6.63 g/cm3

***

[7]
DFT (PBE) results for BeCuRh after structural relaxation.

```
BeCuRh
1.0
-1.383 1.383 4.459
1.383 -1.383 4.459
1.383 1.383 -4.459
Be Cu Rh
1 1 1
Direct
0.000 0.000 0.000
0.653 0.653 0.000
0.354 0.354 0.000
```

* spin magnetization: 0.0 μB per cell
* ΔE to the lowest computed polymorph: 0 meV per atom
* electronic total energy: -5.31 eV per atom
* mass density: 8.54 g/cm3

***

[8]
DFT (PBE) results for Be2CuRuRh after structural relaxation.

```
Be2CuRuRh
1.0
3.941 0.000 0.000
0.000 3.941 0.000
0.000 0.000 4.509
Be Cu Ru Rh
2 1 1 1
Direct
0.000 0.500 0.000
0.500 0.000 0.000
0.000 0.000 0.000
0.500 0.500 0.500
0.000 0.000 0.500
```

* spin magnetization: 2.2 μB per cell
* electronic total energy: -4.69 eV per atom
* mass density: 6.77 g/cm3

***

These records have formation energy from the elements values of -0.1348, -0.1458, -0.0391, 0.3265, -0.2958, -0.2283, -0.2564, 0.9492 eV per atom, in the order they appear.
These records have DOS at the Fermi energy values of 2.65, 2.32, 3.66, 5.04, 1.75, 1.53, 1.84, 4.78 states/eV/f.u., in the order they appear.